[1]
A geometry-optimized GdHoHf2 structure. Source: Alexandria, functional PBE.

## Properties
As for the offset from the most stable computed form: 9 meV/atom. The value obtained for the total energy is -37.78 eV for the cell shown.

Lattice parameters (Å, degrees): 3.3108 3.3108 11.0941 81.42 81.42 60.00
Site moments in Bohr magnetons follow the coordinates.
Atoms (fractional coordinates):
Ho 0.0000 0.0000 0.0000  0.00
Hf 0.7496 0.7496 0.7513  -0.10
Hf 0.2504 0.2504 0.2487  -0.10
Gd 0.5000 0.5000 0.5000  7.08

[2]
A geometry-optimized TlGaIO2 structure. Source: Alexandria, functional PBE.

## Properties
As for the formation energy without anion corrections: -0.31 eV/atom. As for the offset from the most stable computed form: 0 meV/atom. The value obtained for the total energy is -18.43 eV for the cell shown.

Lattice parameters (Å, degrees): 4.1651 4.1651 5.7698 90.00 90.00 90.00
Site moments in Bohr magnetons follow the coordinates.
Atoms (fractional coordinates):
Ga 0.0000 0.0000 0.0000  -0.03
O 0.5000 0.0000 0.0000  0.30
Tl 0.5000 0.5000 0.5000  0.01
I 0.0000 0.0000 0.5000  0.01
O 0.0000 0.5000 0.0000  0.30

[3]
A geometry-optimized SiB3C structure. Source: Alexandria, functional PBE.

## Properties
As for the formation energy without anion corrections: 0.28 eV/atom. As for the offset from the most stable computed form: 74 meV/atom. The value obtained for the total energy is -33.30 eV for the cell shown.

Lattice parameters (Å, degrees): 3.0108 3.4481 4.5767 82.62 79.97 74.99
Atoms (fractional coordinates):
B 0.1988 0.7214 0.0898
Si 0.1985 0.2657 0.8445
B 0.6494 0.6196 0.3048
C 0.7631 0.2829 0.5891
B 0.9634 0.9563 0.3776

[4]
A geometry-optimized AgAu3 structure. Source: Alexandria, functional PBE.

## Properties
As for the offset from the most stable computed form: 16 meV/atom. The value obtained for the total energy is -25.52 eV for the cell shown.

Lattice parameters (Å, degrees): 5.9622 4.8178 5.0286 90.00 90.00 90.00
Atoms (fractional coordinates):
Ag 0.0000 0.0000 0.6638
Au 0.0000 0.5000 0.3327
Au 0.7508 0.5000 0.8334
Ag 0.5000 0.5000 0.3362
Au 0.7492 0.0000 0.1666
Au 0.5000 0.0000 0.6673
Au 0.2492 0.5000 0.8334
Au 0.2508 0.0000 0.1666

[5]
A geometry-optimized LaCeMgSi structure. Source: Alexandria, functional PBE.

## Properties
As for the formation energy without anion corrections: -0.22 eV/atom. The value obtained for the total energy is -18.77 eV for the cell shown.

Lattice parameters (Å, degrees): 5.2733 5.2733 5.2733 60.00 60.00 60.00
Site moments in Bohr magnetons follow the coordinates.
Atoms (fractional coordinates):
Mg 0.2500 0.2500 0.2500  0.01
Ce 0.0000 0.0000 0.0000  0.77
Si 0.7500 0.7500 0.7500  0.00
La 0.5000 0.5000 0.5000  0.04

[6]
A geometry-optimized CsZnPb2 structure. Source: Alexandria, functional PBE.

## Properties
The value obtained for the total energy is -9.55 eV for the cell shown.

Lattice parameters (Å, degrees): 3.8349 3.8349 8.9243 90.00 90.00 90.00
Atoms (fractional coordinates):
Pb 0.0000 0.0000 0.8236
Cs 0.5000 0.5000 0.5000
Pb 0.0000 0.0000 0.1764
Zn 0.5000 0.5000 0.0000

[7]
A geometry-optimized GdTlGaAg structure. Source: Alexandria, functional PBE.

## Properties
The value obtained for the total energy is -23.29 eV for the cell shown.

Lattice parameters (Å, degrees): 5.0434 5.0434 5.0434 60.00 60.00 60.00
Site moments in Bohr magnetons follow the coordinates.
Atoms (fractional coordinates):
Gd 0.0000 0.0000 0.0000  6.98
Ga 0.2500 0.2500 0.2500  -0.01
Tl 0.7500 0.7500 0.7500  -0.01
Ag 0.5000 0.5000 0.5000  -0.01

[8]
A geometry-optimized PmZnGeH structure. Source: Alexandria, functional PBE.

## Properties
The value obtained for the total energy is -32.71 eV for the cell shown.

Lattice parameters (Å, degrees): 4.1321 4.1321 7.5999 90.00 90.00 90.00
Atoms (fractional coordinates):
Pm 0.0000 0.5000 0.8416
H 0.0000 0.0000 0.0000
Pm 0.5000 0.0000 0.1584
Zn 0.5000 0.5000 0.5000
Ge 0.0000 0.5000 0.2901
Zn 0.0000 0.0000 0.5000
Ge 0.5000 0.0000 0.7099
H 0.5000 0.5000 0.0000